Material: SmGa2Cl8
Method: DFT, GGA-PBE
State: relaxed

Output
ΔE_f (raw): -1363 meV/atom
space-group type: C2/m
M_tot: 0.0 μB/cell

Cell lengths 6.651, 8.025, 8.025 Å; angles 64.01, 82.65, 82.65 degrees
Sites, in units of the cell vectors:
Cl  0.227  0.897  0.298
Sm  0.000  0.000  0.000
Cl  0.227  0.298  0.897
Cl  0.773  0.103  0.702
Cl  0.710  0.166  0.166
Ga  0.352  0.188  0.188
Cl  0.773  0.702  0.103
Cl  0.765  0.653  0.653
Ga  0.648  0.812  0.812
Cl  0.290  0.834  0.834
Cl  0.235  0.347  0.347